Entry 1:
Material: Ce2H2ICl
Method: DFT, PBE
State: optimized geometry

Values from the calculation:
E_tot: -27.71 eV for the cell shown
Spin magnetization: 2.3 μB per cell

abc: 3.9729 3.9729 8.6730
angles: 90.00 90.00 120.00
Space group P-3m1 (No. 164)
Asymmetric unit:
1 Ce 0.3333 0.6667 0.2966 x2
2 H 0.3333 0.6667 0.7342 x2
3 I 0.0000 0.0000 0.0000 x1
4 Cl 0.0000 0.0000 0.5000 x1

Entry 2:
Material: CeHICl
Method: DFT, PBE
State: optimized geometry

Values from the calculation:
E_tot: -36.78 eV for the cell shown
Spin magnetization: 2.0 μB per cell

abc: 7.046 4.068 7.938
angles: 90.00 107.33 90.00
Space group Cm (No. 8)
Asymmetric unit:
1 Ce 0.000 0.000 0.000 x2
2 H 0.336 0.000 0.009 x2
3 I 0.265 0.500 0.291 x2
4 Cl 0.091 0.500 0.775 x2

Entry 3:
Material: LiCeH2Cl8
Method: DFT, PBE
State: optimized geometry

Values from the calculation:
E_tot: -43.76 eV for the cell shown
Spin magnetization: 1.0 μB per cell

abc: 6.536 6.727 7.782
angles: 90.71 106.46 94.28
Space group P-1 (No. 2)
Asymmetric unit:
1 Li 0.000 0.000 0.000 x1
2 Ce 0.000 0.000 0.500 x1
3 H 0.403 0.752 0.104 x2
4 Cl 0.162 0.633 0.532 x2
5 Cl 0.206 0.674 0.043 x2
6 Cl 0.256 0.127 0.317 x2
7 Cl 0.257 0.131 0.813 x2

Entry 4:
Material: Ce6HN2Cl3
Method: DFT, PBE
State: optimized geometry

Values from the calculation:
E_tot: -153.14 eV for the cell shown
Spin magnetization: 9.4 μB per cell

abc: 6.232 10.798 7.397
angles: 90.00 106.30 90.00
Space group C2/m (No. 12)
Asymmetric unit:
1 Ce 0.219 0.000 0.197 x4
2 Ce 0.239 0.327 0.198 x8
3 H 0.000 0.500 0.000 x2
4 N 0.000 0.167 0.000 x4
5 Cl 0.000 0.000 0.500 x2
6 Cl 0.000 0.336 0.500 x4